Entry 1:
InPbSe2: relaxed, GGA-PBEsol.

```
4
Lattice="3.614 -2.067 0.000 3.614 2.067 0.000 -2.397 0.000 7.003" Properties=species:S:1:pos:R:3 pbc="T T T"
In 0.000 0.000 0.000
Pb 2.415 0.000 3.501
Se 0.017 0.000 5.361
Se 4.814 0.000 1.642
```

Calculated values
**Crystal system**: monoclinic
**Calculated density**: 7.62 Mg/m³
**E_tot**: -16.5 eV/f.u.

=====

Entry 2:
In2SiPb: relaxed, GGA-PBEsol.

```
4
Lattice="1.683 0.972 9.936 -1.683 0.972 9.936 0.000 -1.943 9.936" Properties=species:S:1:pos:R:3 pbc="T T T"
In 0.000 0.000 0.000
In 0.000 0.000 7.362
Si 0.000 0.000 21.989
Pb 0.000 0.000 14.412
```

Calculated values
**Crystal system**: trigonal
**Energy above the lowest structure with this stoichiometry**: 38 meV per atom
**Calculated density**: 7.92 Mg/m³
**E_tot**: -14.7 eV/f.u.

=====

Record order is preserved below.
E_form (uncorrected): -0.450, 0.256 eV per atom
Record order is preserved below.
D(E_F): 2.01, 1.98 states/eV/cell